Density functional theory data (GGA-PBE) for an optimized crystal structure of CsGa2HgOs.

The structure in POSCAR format:
```
CsGa2HgOs
1.0
4.938 0.000 0.000
0.000 4.938 0.000
0.000 0.000 5.515
Hg Os Cs Ga
1 1 1 2
Cartesian
0.000 0.000 2.757
0.000 0.000 0.000
2.469 2.469 2.757
0.000 2.469 0.000
2.469 0.000 0.000
```

Values from the calculation:
Its space-group type is P4/mmm (123). The calculated total energy comes out at -3.724 eV/atom. The value obtained for the formation enthalpy at 0 K is -0.04 eV/atom.

Density functional theory data (GGA-PBE) for an optimized crystal structure of Cs2GaHgP.

The structure in POSCAR format:
```
Cs2GaHgP
1.0
-1.901 1.005 -6.719
-6.791 -0.069 1.911
0.139 4.718 0.666
Hg P Cs Ga
1 1 2 1
Cartesian
-4.276 2.827 -2.071
0.000 0.000 0.000
-3.395 -0.035 0.956
-0.951 0.502 -3.360
0.070 2.359 0.333
```

Values from the calculation:
Its space-group type is P4/mmm (123). The calculated total energy comes out at -2.191 eV/atom. The value obtained for the formation enthalpy at 0 K is -0.10 eV/atom.